Record 1
The following is a PBE calculation of a relaxed structure of Pa3Te2P, from Alexandria.

```
data_Pa3Te2P
_cell_length_a 7.2612
_cell_length_b 12.6045
_cell_length_c 7.3624
_cell_angle_alpha 90.00
_cell_angle_beta 109.31
_cell_angle_gamma 90.00
_space_group_name_H-M_alt 'C 1 2/m 1'
_space_group_IT_number 12
loop_
_space_group_symop_operation_xyz
'x,y,z'
'-x,-y,-z'
'-x,y,-z'
'x,-y,z'
'x+1/2,y+1/2,z'
'-x+1/2,-y+1/2,-z'
'-x+1/2,y+1/2,-z'
'x+1/2,-y+1/2,z'
loop_
_atom_site_label
_atom_site_type_symbol
_atom_site_fract_x
_atom_site_fract_y
_atom_site_fract_z
Pa1 Pa 0.2045 0.0000 0.2047
Pa2 Pa 0.2447 0.1804 0.7817
Te1 Te 0.0000 0.0000 0.5000
Te2 Te 0.0000 0.3474 0.5000
Te3 Te 0.0000 0.5000 0.0000
P1 P 0.0000 0.1704 0.0000
```

Computed properties:
**Relative energy among the computed polymorphs**: 0.0 kJ per mole of atoms

Record 2
The following is a PBE calculation of a relaxed structure of Pa3Te3P, from Alexandria.

```
data_Pa3Te3P
_cell_length_a 8.4460
_cell_length_b 4.1109
_cell_length_c 11.7467
_cell_angle_alpha 90.00
_cell_angle_beta 90.13
_cell_angle_gamma 90.00
_space_group_name_H-M_alt 'P 1 21/m 1'
_space_group_IT_number 11
loop_
_space_group_symop_operation_xyz
'x,y,z'
'-x,-y,-z'
'-x,y+1/2,-z'
'x,-y+1/2,z'
loop_
_atom_site_label
_atom_site_type_symbol
_atom_site_fract_x
_atom_site_fract_y
_atom_site_fract_z
Pa1 Pa 0.1020 0.2500 0.3852
Pa2 Pa 0.1226 0.2500 0.8556
Pa3 Pa 0.3416 0.7500 0.6212
Te1 Te 0.1487 0.2500 0.1208
Te2 Te 0.3806 0.7500 0.3562
Te3 Te 0.3845 0.7500 0.8795
P1 P 0.1210 0.2500 0.6211
```

Computed properties:
**Relative energy among the computed polymorphs**: 0.0 kJ per mole of atoms

Record 3
The following is a PBE calculation of a relaxed structure of Pa3Te3P, from Alexandria.

```
data_Pa3Te3P
_cell_length_a 8.4731
_cell_length_b 12.3047
_cell_length_c 7.8404
_cell_angle_alpha 90.00
_cell_angle_beta 94.48
_cell_angle_gamma 90.00
_space_group_name_H-M_alt 'C 1 2/m 1'
_space_group_IT_number 12
loop_
_space_group_symop_operation_xyz
'x,y,z'
'-x,-y,-z'
'-x,y,-z'
'x,-y,z'
'x+1/2,y+1/2,z'
'-x+1/2,-y+1/2,-z'
'-x+1/2,y+1/2,-z'
'x+1/2,-y+1/2,z'
loop_
_atom_site_label
_atom_site_type_symbol
_atom_site_fract_x
_atom_site_fract_y
_atom_site_fract_z
Pa1 Pa 0.0445 0.0000 0.2986
Pa2 Pa 0.1826 0.3512 0.1978
Te1 Te 0.0000 0.1657 0.0000
Te2 Te 0.0000 0.2337 0.5000
Te3 Te 0.1286 0.5000 0.8560
P1 P 0.2387 0.5000 0.4378
```

Computed properties:
**Relative energy among the computed polymorphs**: 32.0 kJ per mole of atoms

Record 4
The following is a PBE calculation of a relaxed structure of ThPaTeP, from Alexandria.

```
data_ThPaTeP
_cell_length_a 4.0163
_cell_length_b 4.0163
_cell_length_c 23.1018
_cell_angle_alpha 90.00
_cell_angle_beta 90.00
_cell_angle_gamma 120.00
_space_group_name_H-M_alt 'R 3 m'
_space_group_IT_number 160
_space_group_name_Hall 'R 3 -2"'
loop_
_atom_site_label
_atom_site_type_symbol
_atom_site_fract_x
_atom_site_fract_y
_atom_site_fract_z
Th1 Th 0.0000 0.0000 0.0000
Pa1 Pa 0.0000 0.0000 0.8070
Te1 Te 0.0000 0.0000 0.2329
P1 P 0.0000 0.0000 0.4064
```

Computed properties:
**Uncorrected energy**: -7.498 eV/atom

Record 5
The following is a PBE calculation of a relaxed structure of TmPaTeP, from Alexandria.

```
data_TmPaTeP
_cell_length_a 3.9816
_cell_length_b 3.9816
_cell_length_c 22.0344
_cell_angle_alpha 90.00
_cell_angle_beta 90.00
_cell_angle_gamma 120.00
_space_group_name_H-M_alt 'R 3 m'
_space_group_IT_number 160
_space_group_name_Hall 'R 3 -2"'
loop_
_atom_site_label
_atom_site_type_symbol
_atom_site_fract_x
_atom_site_fract_y
_atom_site_fract_z
Tm1 Tm 0.0000 0.0000 0.0000
Pa1 Pa 0.0000 0.0000 0.8050
Te1 Te 0.0000 0.0000 0.2365
P1 P 0.0000 0.0000 0.4012
```

Computed properties:
**Uncorrected energy**: -6.832 eV/atom

Record 6
The following is a PBE calculation of a relaxed structure of YPaTeP, from Alexandria.

```
data_YPaTeP
_cell_length_a 4.0238
_cell_length_b 4.0238
_cell_length_c 22.1279
_cell_angle_alpha 90.00
_cell_angle_beta 90.00
_cell_angle_gamma 120.00
_space_group_name_H-M_alt 'R 3 m'
_space_group_IT_number 160
_space_group_name_Hall 'R 3 -2"'
loop_
_atom_site_label
_atom_site_type_symbol
_atom_site_fract_x
_atom_site_fract_y
_atom_site_fract_z
Y1 Y 0.0000 0.0000 0.0000
Pa1 Pa 0.0000 0.0000 0.8051
Te1 Te 0.0000 0.0000 0.2351
P1 P 0.0000 0.0000 0.4030
```

Computed properties:
**Uncorrected energy**: -7.365 eV/atom

Record 7
The following is a PBE calculation of a relaxed structure of Th2PaP4, from Alexandria.

```
data_Th2PaP4
_cell_length_a 7.2453
_cell_length_b 5.3996
_cell_length_c 9.1145
_cell_angle_alpha 90.00
_cell_angle_beta 109.00
_cell_angle_gamma 90.00
_space_group_name_H-M_alt 'P 1 21/m 1'
_space_group_IT_number 11
loop_
_space_group_symop_operation_xyz
'x,y,z'
'-x,-y,-z'
'-x,y+1/2,-z'
'x,-y+1/2,z'
loop_
_atom_site_label
_atom_site_type_symbol
_atom_site_fract_x
_atom_site_fract_y
_atom_site_fract_z
Th1 Th 0.1897 0.2500 0.0695
Th2 Th 0.2514 0.2500 0.5315
Pa1 Pa 0.3196 0.7500 0.8455
P1 P 0.0123 0.5396 0.2609
P2 P 0.4516 0.7500 0.6069
P3 P 0.4534 0.2500 0.8594
```

Computed properties:
**Calculated formation energy**: -0.959 eV per atom

Record 8
The following is a PBE calculation of a relaxed structure of ThPa2P3, from Alexandria.

```
data_ThPa2P3
_cell_length_a 4.0221
_cell_length_b 5.7028
_cell_length_c 12.0690
_cell_angle_alpha 90.00
_cell_angle_beta 90.00
_cell_angle_gamma 90.00
_space_group_name_H-M_alt 'I m m m'
_space_group_IT_number 71
_space_group_name_Hall '-I 2 2'
loop_
_atom_site_label
_atom_site_type_symbol
_atom_site_fract_x
_atom_site_fract_y
_atom_site_fract_z
Th1 Th 0.0000 0.0000 0.0000
Pa1 Pa 0.0000 0.0000 0.3358
P1 P 0.0000 0.5000 0.0000
P2 P 0.0000 0.5000 0.3262
```

Computed properties:
**Calculated formation energy**: -1.391 eV per atom

Record 9
The following is a PBE calculation of a relaxed structure of Th2PaP, from Alexandria.

```
data_Th2PaP
_cell_length_a 3.5480
_cell_length_b 3.5480
_cell_length_c 31.1079
_cell_angle_alpha 90.00
_cell_angle_beta 90.00
_cell_angle_gamma 120.00
_space_group_name_H-M_alt 'R -3 m'
_space_group_IT_number 166
_space_group_name_Hall '-R 3 2"'
loop_
_atom_site_label
_atom_site_type_symbol
_atom_site_fract_x
_atom_site_fract_y
_atom_site_fract_z
Th1 Th 0.0000 0.0000 0.1046
Pa1 Pa 0.0000 0.0000 0.0000
P1 P 0.0000 0.0000 0.5000
```

Computed properties:
**Calculated formation energy**: -0.089 eV per atom

Record 10
The following is a PBE calculation of a relaxed structure of Th5Pa3P8, from Alexandria.

```
data_Th5Pa3P8
_cell_length_a 8.1488
_cell_length_b 8.1488
_cell_length_c 19.9757
_cell_angle_alpha 90.00
_cell_angle_beta 90.00
_cell_angle_gamma 120.00
_space_group_name_H-M_alt 'R -3 m'
_space_group_IT_number 166
_space_group_name_Hall '-R 3 2"'
loop_
_atom_site_label
_atom_site_type_symbol
_atom_site_fract_x
_atom_site_fract_y
_atom_site_fract_z
Th1 Th 0.0000 0.0000 0.0000
Th2 Th 0.0000 0.0000 0.5000
Th3 Th 0.0000 0.5000 0.0000
Pa1 Pa 0.0000 0.5000 0.5000
P1 P 0.0000 0.0000 0.2456
P2 P 0.0063 0.5031 0.7531
```

Computed properties:
**Calculated formation energy**: -1.458 eV per atom

Record 11
The following is a PBE calculation of a relaxed structure of ThPa3P4, from Alexandria.

```
data_ThPa3P4
_cell_length_a 5.6744
_cell_length_b 5.6744
_cell_length_c 5.6744
_cell_angle_alpha 90.00
_cell_angle_beta 90.00
_cell_angle_gamma 90.00
_space_group_name_H-M_alt 'P m -3 m'
_space_group_IT_number 221
_space_group_name_Hall '-P 4 2 3'
loop_
_atom_site_label
_atom_site_type_symbol
_atom_site_fract_x
_atom_site_fract_y
_atom_site_fract_z
Th1 Th 0.0000 0.0000 0.0000
Pa1 Pa 0.0000 0.5000 0.5000
P1 P 0.0000 0.0000 0.5000
P2 P 0.5000 0.5000 0.5000
```

Computed properties:
**Calculated formation energy**: -1.370 eV per atom

Record 12
The following is a PBE calculation of a relaxed structure of ThPa5P6, from Alexandria.

```
data_ThPa5P6
_cell_length_a 6.9236
_cell_length_b 11.9929
_cell_length_c 6.9249
_cell_angle_alpha 90.00
_cell_angle_beta 109.46
_cell_angle_gamma 90.00
_space_group_name_H-M_alt 'C 1 2/m 1'
_space_group_IT_number 12
loop_
_space_group_symop_operation_xyz
'x,y,z'
'-x,-y,-z'
'-x,y,-z'
'x,-y,z'
'x+1/2,y+1/2,z'
'-x+1/2,-y+1/2,-z'
'-x+1/2,y+1/2,-z'
'x+1/2,-y+1/2,z'
loop_
_atom_site_label
_atom_site_type_symbol
_atom_site_fract_x
_atom_site_fract_y
_atom_site_fract_z
Th1 Th 0.0000 0.0000 0.0000
Pa1 Pa 0.0000 0.1638 0.5000
Pa2 Pa 0.0000 0.3329 0.0000
Pa3 Pa 0.0000 0.5000 0.5000
P1 P 0.2434 0.5000 0.2520
P2 P 0.2447 0.3299 0.7449
```

Computed properties:
**Calculated formation energy**: -1.358 eV per atom